Entry from Alexandria: CaP2RuO after structural relaxation (PBE-GGA).

The value obtained for the uncorrected formation energy is 1.101 eV/atom. Its distance to the lowest polymorph of the same formula is 1495 meV per atom.

POSCAR file:
```
CaP2RuO
1.0
-2.912 -0.725 -4.216
0.012 -5.101 0.869
-3.343 0.375 2.245
Ru Ca O P
1 1 1 2
Direct
0.500 0.500 0.500
0.000 0.000 0.000
0.000 0.000 0.500
0.000 0.500 0.000
0.500 0.000 0.000
```